1.
VASP calculation (PBE-GGA) on an optimized crystal structure of LiCe2Rh.

```
data_LiCe2Rh
_cell_length_a 3.0772
_cell_length_b 3.0772
_cell_length_c 32.9471
_cell_angle_alpha 90.00
_cell_angle_beta 90.00
_cell_angle_gamma 120.00
_space_group_name_H-M_alt 'R -3 m'
_space_group_IT_number 166
_space_group_name_Hall '-R 3 2"'
loop_
_atom_site_label
_atom_site_type_symbol
_atom_site_fract_x
_atom_site_fract_y
_atom_site_fract_z
Li1 Li 0.0000 0.0000 0.0000
Ce1 Ce 0.0000 0.0000 0.0961
Rh1 Rh 0.0000 0.0000 0.5000
```



2.
VASP calculation (PBE-GGA) on an optimized crystal structure of Li3CeRh2.

```
data_Li3CeRh2
_cell_length_a 13.625
_cell_length_b 4.182
_cell_length_c 7.752
_cell_angle_alpha 90.00
_cell_angle_beta 110.96
_cell_angle_gamma 90.00
_space_group_name_H-M_alt 'C 1 2/m 1'
_space_group_IT_number 12
loop_
_space_group_symop_operation_xyz
'x,y,z'
'-x,-y,-z'
'-x,y,-z'
'x,-y,z'
'x+1/2,y+1/2,z'
'-x+1/2,-y+1/2,-z'
'-x+1/2,y+1/2,-z'
'x+1/2,-y+1/2,z'
loop_
_atom_site_label
_atom_site_type_symbol
_atom_site_fract_x
_atom_site_fract_y
_atom_site_fract_z
Li1 Li 0.065 0.000 0.385
Li2 Li 0.068 0.500 0.683
Li3 Li 0.214 0.500 0.537
Ce1 Ce 0.143 0.000 0.019
Rh1 Rh 0.082 0.500 0.166
Rh2 Rh 0.197 0.000 0.755
```



3.
VASP calculation (PBE-GGA) on an optimized crystal structure of Li2CeRh2.

```
data_Li2CeRh2
_cell_length_a 5.330
_cell_length_b 5.622
_cell_length_c 6.401
_cell_angle_alpha 90.00
_cell_angle_beta 106.46
_cell_angle_gamma 90.00
_space_group_name_H-M_alt 'C 1 2/m 1'
_space_group_IT_number 12
loop_
_space_group_symop_operation_xyz
'x,y,z'
'-x,-y,-z'
'-x,y,-z'
'x,-y,z'
'x+1/2,y+1/2,z'
'-x+1/2,-y+1/2,-z'
'-x+1/2,y+1/2,-z'
'x+1/2,-y+1/2,z'
loop_
_atom_site_label
_atom_site_type_symbol
_atom_site_fract_x
_atom_site_fract_y
_atom_site_fract_z
Li1 Li 0.000 0.238 0.000
Ce1 Ce 0.000 0.500 0.500
Rh1 Rh 0.175 0.000 0.699
```



4.
VASP calculation (PBE-GGA) on an optimized crystal structure of LiCeRh.

```
data_LiCeRh
_cell_length_a 4.3438
_cell_length_b 4.3438
_cell_length_c 3.5507
_cell_angle_alpha 90.00
_cell_angle_beta 90.00
_cell_angle_gamma 120.00
_space_group_name_H-M_alt 'P -6 m 2'
_space_group_IT_number 187
_space_group_name_Hall 'P -6 2'
loop_
_atom_site_label
_atom_site_type_symbol
_atom_site_fract_x
_atom_site_fract_y
_atom_site_fract_z
Li1 Li 0.0000 0.0000 0.0000
Ce1 Ce 0.6667 0.3333 0.5000
Rh1 Rh 0.3333 0.6667 0.0000
```

Computed properties:
distance to the lowest polymorph of the same formula = 4.104 kcal/mol of atoms



5.
VASP calculation (PBE-GGA) on an optimized crystal structure of LiCe2Rh.

```
data_LiCe2Rh
_cell_length_a 3.657
_cell_length_b 3.657
_cell_length_c 6.967
_cell_angle_alpha 90.00
_cell_angle_beta 90.00
_cell_angle_gamma 90.00
_space_group_name_H-M_alt 'P 4/m m m'
_space_group_IT_number 123
_space_group_name_Hall '-P 4 2'
loop_
_atom_site_label
_atom_site_type_symbol
_atom_site_fract_x
_atom_site_fract_y
_atom_site_fract_z
Li1 Li 0.000 0.000 0.000
Ce1 Ce 0.500 0.500 0.288
Rh1 Rh 0.000 0.000 0.500
```



6.
VASP calculation (PBE-GGA) on an optimized crystal structure of LiCe5Rh4.

```
data_LiCe5Rh4
_cell_length_a 15.537
_cell_length_b 4.286
_cell_length_c 6.725
_cell_angle_alpha 90.00
_cell_angle_beta 102.31
_cell_angle_gamma 90.00
_space_group_name_H-M_alt 'C 1 2/m 1'
_space_group_IT_number 12
loop_
_space_group_symop_operation_xyz
'x,y,z'
'-x,-y,-z'
'-x,y,-z'
'x,-y,z'
'x+1/2,y+1/2,z'
'-x+1/2,-y+1/2,-z'
'-x+1/2,y+1/2,-z'
'x+1/2,-y+1/2,z'
loop_
_atom_site_label
_atom_site_type_symbol
_atom_site_fract_x
_atom_site_fract_y
_atom_site_fract_z
Li1 Li 0.000 0.000 0.000
Ce1 Ce 0.000 0.000 0.500
Ce2 Ce 0.162 0.500 0.997
Ce3 Ce 0.166 0.500 0.567
Rh1 Rh 0.018 0.500 0.232
Rh2 Rh 0.159 0.000 0.273
```



7.
VASP calculation (PBE-GGA) on an optimized crystal structure of LiCe3Rh8.

```
data_LiCe3Rh8
_cell_length_a 5.3083
_cell_length_b 5.3083
_cell_length_c 26.0673
_cell_angle_alpha 90.00
_cell_angle_beta 90.00
_cell_angle_gamma 120.00
_space_group_name_H-M_alt 'R 3 m'
_space_group_IT_number 160
_space_group_name_Hall 'R 3 -2"'
loop_
_atom_site_label
_atom_site_type_symbol
_atom_site_fract_x
_atom_site_fract_y
_atom_site_fract_z
Li1 Li 0.0000 0.0000 0.0000
Ce1 Ce 0.0000 0.0000 0.3628
Ce2 Ce 0.0000 0.0000 0.4911
Ce3 Ce 0.0000 0.0000 0.8776
Rh1 Rh 0.0000 0.0000 0.1816
Rh2 Rh 0.0000 0.0000 0.6817
Rh3 Rh 0.0007 0.5003 0.4315
Rh4 Rh 0.1680 0.3361 0.2653
```



8.
VASP calculation (PBE-GGA) on an optimized crystal structure of LiCeRh2.

```
data_LiCeRh2
_cell_length_a 4.238
_cell_length_b 4.238
_cell_length_c 3.709
_cell_angle_alpha 90.00
_cell_angle_beta 90.00
_cell_angle_gamma 90.00
_space_group_name_H-M_alt 'P 4/m m m'
_space_group_IT_number 123
_space_group_name_Hall '-P 4 2'
loop_
_atom_site_label
_atom_site_type_symbol
_atom_site_fract_x
_atom_site_fract_y
_atom_site_fract_z
Li1 Li 0.000 0.000 0.000
Ce1 Ce 0.500 0.500 0.000
Rh1 Rh 0.000 0.500 0.500
```



| no. | density of states at the Fermi level (states/eV/cell) | magnetic moment (μB per formula unit) | DFT formation energy (meV per atom) |
| --- | --- | --- | --- |
| 1 | 24.4 | 0.703 | 7 |
| 2 | 15.1 | 0.000 | -369 |
| 3 | 2.6 | 0.000 | -375 |
| 4 | 5.4 | 0.491 | -293 |
| 5 | 9.7 | 1.594 | -235 |
| 6 | 39.9 | 2.051 | -466 |
| 7 | 38.7 | 0.353 | -594 |
| 8 | 2.5 | 0.000 | -623 |